Entry 1:
{"formula": "FeBiI3", "functional": "PBE", "state": "optimized geometry", "sg": "Pm-3m, No. 221", "polymorph_energy_ev_per_atom": 0.000, "cell": [[5.2427, 0.0000, 0.0000], [0.0000, 5.2427, 0.0000], [0.0000, 0.0000, 5.2427]], "species": ["Fe", "Bi", "I", "I", "I"], "fractional_positions": [[0.0000, 0.0000, 0.0000], [0.5000, 0.5000, 0.5000], [0.0000, 0.0000, 0.5000], [0.0000, 0.5000, 0.0000], [0.5000, 0.0000, 0.0000]]}

=====

Entry 2:
{"formula": "ReSiN", "functional": "PBE", "state": "optimized geometry", "sg": "P-1, No. 2", "cell": [[3.2305, 0.0000, 0.0000], [0.1965, 4.7591, 0.0000], [0.6330, 1.2620, 7.1398]], "species": ["Re", "Re", "Si", "Si", "N", "N"], "fractional_positions": [[0.1910, 0.1728, 0.3231], [0.8090, 0.8272, 0.6769], [0.2517, 0.6568, 0.4061], [0.7483, 0.3432, 0.5939], [0.2530, 0.7922, 0.8116], [0.7470, 0.2078, 0.1884]]}

=====

In order of appearance, raw total energy = -0.2204, -0.6162 Ry/atom.
In order of appearance, DOS at the Fermi energy = 1.35, 0.30 states/eV/atom.
In order of appearance, energy relative to the elements, uncorrected = 0.401, 0.348 eV/atom.